[1]
A relaxed LiCr2Si crystal. Source: the Alexandria database, functional PBE-GGA.

Properties
- Crystal system: orthorhombic

abc: 4.864 7.809 2.455
angles: 90.00 90.00 90.00
Space group Cmmm (No. 65)
Symmetry-distinct sites (fractional):
Li: 0.000 0.000 0.000 [2 per cell]
Cr: 0.250 0.250 0.500 [4 per cell]
Si: 0.000 0.500 0.000 [2 per cell]

[2]
A relaxed LiCr2Si crystal. Source: the Alexandria database, functional PBE-GGA.

Properties
- Crystal system: monoclinic

abc: 2.502 3.986 4.710
angles: 90.00 98.02 90.00
Space group Pm (No. 6)
Symmetry-distinct sites (fractional):
Li: 0.000 0.000 0.000 [1 per cell]
Cr: 0.339 0.500 0.757 [1 per cell]
Cr: 0.511 0.000 0.509 [1 per cell]
Si: 0.874 0.500 0.259 [1 per cell]

[3]
A relaxed LiCr3Si crystal. Source: the Alexandria database, functional PBE-GGA.

Properties
- Crystal system: cubic
- Polymorph energy (0 for the lowest one): 0.000 eV per atom

abc: 4.671 4.671 4.671
angles: 90.00 90.00 90.00
Space group Pm-3m (No. 221)
Symmetry-distinct sites (fractional):
Li: 0.000 0.000 0.000 [1 per cell]
Cr: 0.000 0.500 0.500 [3 per cell]
Si: 0.500 0.500 0.500 [1 per cell]

Number 1: electronic total energy -6.48 eV/atom, raw formation energy 0.17 eV/atom, DOS at the Fermi energy 7.21 states/eV per cell. Number 2: electronic total energy -6.60 eV/atom, raw formation energy 0.05 eV/atom, DOS at the Fermi energy 1.69 states/eV per cell. Number 3: electronic total energy -6.32 eV/atom, raw formation energy 0.92 eV/atom, DOS at the Fermi energy 5.96 states/eV per cell.